A plane-wave DFT calculation with GGA+U was carried out for a relaxed Sr4W2F crystal.

Cell and atoms, written as POSCAR:
```
Sr4W2F
1.0
-1.953 -2.638 -3.897
-1.770 -3.498 3.255
-9.951 1.758 0.467
Sr W F
4 2 1
Direct
0.184 0.184 0.633 Sr
0.500 0.000 0.000 Sr
0.816 0.816 0.367 Sr
0.000 0.500 0.000 Sr
0.631 0.631 0.738 W
0.369 0.369 0.262 W
0.000 0.000 0.000 F
```

Computed properties:
Calculated volume, Å³ per cell: 245.4
Crystal system: tetragonal
Calculated total energy, eV per atom: -3.31
Total magnetic moment, Bohr magnetons per cell: 10.096